# Mn3Cr2Co3O16

A geometry-optimized Mn3Cr2Co3O16 structure (GGA+U, Alexandria via LeMat-Bulk).

Values from the calculation:
The value obtained for the electronic total energy is -6.510 eV/atom. The total magnetization is 7.99 μB/f.u.

a = 9.843 Å, b = 5.675 Å, c = 8.863 Å
α = 90.00°, β = 90.36°, γ = 90.00°
Space group Cm (No. 8)
Unique sites:
Mn 0.000 0.000 0.000
Mn 0.417 0.250 0.501
Cr 0.167 0.000 0.725
Cr 0.499 0.000 0.224
Co 0.165 0.500 0.502
Co 0.249 0.248 0.003
O 0.001 0.500 0.610
O 0.074 0.280 0.376
O 0.096 0.222 0.874
O 0.166 0.500 0.106
O 0.167 0.000 0.112
O 0.249 0.250 0.610
O 0.312 0.000 0.882
O 0.330 0.500 0.895
O 0.331 0.500 0.393
O 0.352 0.000 0.373
O 0.413 0.247 0.109
O 0.499 0.500 0.613